1.
Compound: Cd2BIr
Source: Alexandria
Functional: SCAN
Structure: PBEsol geometry

* energy relative to the elements: 384 meV/atom
* VASP energy: -34.456 eV per atom
* size of the total moment: 0.00 μB/cell
* Fermi-level density of states: 0.427 states/eV per atom

Geometry as extended XYZ:
```
8
Lattice="4.0114 0.0000 0.0000 2.0057 6.4483 0.0000 2.0057 0.0000 6.4483" Properties=species:S:1:pos:R:3 pbc="T T T"
B 2.0057 0.0000 0.0000
B 3.0085 3.2242 3.2242
Ir 0.0000 0.0000 0.0000
Ir 5.0142 3.2242 3.2242
Cd 6.5185 4.8362 4.8362
Cd 2.5071 1.6121 1.6121
Cd 3.5100 4.8362 1.6121
Cd 3.5100 1.6121 4.8362
```

---

2.
Compound: K2CdReB
Source: Alexandria
Functional: SCAN
Structure: PBEsol geometry

* energy relative to the elements: 1145 meV/atom
* VASP energy: -23.975 eV per atom
* size of the total moment: 2.07 μB/cell
* Fermi-level density of states: 0.699 states/eV per atom

Geometry as extended XYZ:
```
5
Lattice="-3.4455 -1.0264 -1.8107 -1.0220 -4.4819 4.4852 -3.1597 4.2988 3.5756" Properties=species:S:1:pos:R:3 pbc="T T T"
Re 0.0000 0.0000 0.0000
K -1.5799 2.1494 1.7878
K -0.5110 -2.2409 2.2426
B -1.7228 -0.5132 -0.9054
Cd -3.8136 -0.6048 3.1250
```

---

3.
Compound: KCd2BW
Source: Alexandria
Functional: SCAN
Structure: PBEsol geometry

* energy relative to the elements: 3077 meV/atom
* VASP energy: -26.178 eV per atom
* size of the total moment: 4.24 μB/cell
* Fermi-level density of states: 0.662 states/eV per atom

Geometry as extended XYZ:
```
5
Lattice="-5.5892 -0.6094 -1.1235 1.2587 -3.5000 -4.3633 -0.2269 -4.5990 3.6236" Properties=species:S:1:pos:R:3 pbc="T T T"
K 0.0000 0.0000 0.0000
B -2.2787 -4.3542 -0.9316
W -0.1135 -2.2995 1.8118
Cd 0.6293 -1.7500 -2.1816
Cd -2.7946 -0.3047 -0.5617
```

---

4.
Compound: LaCdB3
Source: Alexandria
Functional: SCAN
Structure: PBEsol geometry

* energy relative to the elements: 2304 meV/atom
* VASP energy: -16.857 eV per atom
* size of the total moment: 0.00 μB/cell
* Fermi-level density of states: 0.503 states/eV per atom

Geometry as extended XYZ:
```
5
Lattice="-2.9255 -2.9830 2.0897 -1.2182 -1.7246 -4.1672 3.4323 -3.1546 0.3021" Properties=species:S:1:pos:R:3 pbc="T T T"
B -0.6091 -0.8623 -2.0836
B 1.7162 -1.5773 0.1511
B -1.4628 -1.4915 1.0448
Cd -0.3557 -3.9310 -0.8877
La 0.0000 0.0000 0.0000
```

---

5.
Compound: LaCdB5O10
Source: Alexandria
Functional: SCAN
Structure: PBEsol geometry

* VASP energy: -12.921 eV per atom
* size of the total moment: 0.00 μB/cell
* Fermi-level density of states: 0.000 states/eV per atom
* E_form (uncorrected): -264.9 kJ per mole of atoms

Geometry as extended XYZ:
```
68
Lattice="-5.7696 1.7823 5.0926 -5.1288 -6.0717 -3.6857 3.2449 -6.7601 6.0422" Properties=species:S:1:pos:R:3 pbc="T T T"
La -3.2419 -4.8602 8.1216
La -1.0759 -6.2704 4.9427
La -4.4116 -6.1892 -0.6725
La -6.5777 -4.7790 2.5064
Cd -3.6902 -8.5493 6.0531
Cd -3.0708 -9.4827 0.9550
Cd -3.9634 -2.5001 1.3960
Cd -4.5828 -1.5667 6.4941
B -4.7250 -9.8503 3.2689
B -6.6748 -1.7841 3.1537
B -0.8860 -2.5871 3.8666
B -0.9788 -9.2653 4.2954
B -6.7676 -8.4623 3.5825
B -0.7670 -5.3428 2.2765
B -1.0161 -6.5709 8.5506
B -6.8866 -5.7066 5.1726
B -6.6374 -4.4785 -1.1015
B -5.8588 -7.0007 7.1135
B -2.9285 -1.1991 4.1802
B -1.7947 -4.0487 0.3356
B -4.4126 -5.7891 5.2805
B 1.8275 -5.8768 6.2544
B -3.2410 -5.2603 2.1686
B -9.4811 -5.1726 1.1947
B -4.5934 -7.2878 3.1098
B -6.5449 -9.3920 7.7620
B -3.0601 -3.7616 4.3393
B -1.1087 -1.6574 -0.3128
O -4.5966 -6.3549 6.6630
O -1.4829 -8.6697 5.4318
O -2.9390 -2.4289 7.7244
O -6.1707 -2.3797 2.0173
O -4.7145 -8.6205 -0.2752
O -1.5435 -6.4415 7.3069
O 0.3263 -5.6470 3.0207
O -6.1100 -4.6079 0.1422
O 0.6997 -4.9058 6.0297
O -7.9798 -5.4024 4.4284
O -8.3533 -6.1436 1.4194
O -3.0570 -4.6945 0.7861
O -4.1190 -10.1314 4.5861
O -6.9661 -6.5648 6.2388
O -3.5345 -0.9180 2.8630
O -0.6875 -4.4846 1.2104
O -6.1722 -9.7038 3.4788
O -0.4321 -8.3766 3.3910
O -1.4814 -1.3456 3.9703
O -7.2214 -2.6728 4.0581
O -4.1489 -8.6181 2.7215
O -5.7109 -8.4567 7.0219
O -3.5046 -2.4313 4.7277
O -1.9427 -2.5927 0.4273
O -3.9700 -6.9077 4.4102
O -2.0834 -11.3428 1.9734
O -3.6835 -4.1417 3.0389
O -5.5701 0.2934 5.4757
O -3.3175 -4.7985 5.3889
O 1.4722 -7.0960 5.4930
O -4.3361 -6.2509 2.0602
O -6.6297 -0.4341 3.4005
O -5.6559 -5.1684 4.8189
O -6.3993 -5.4705 -2.0442
O -1.9977 -5.8810 2.6302
O -1.2543 -5.5789 9.4933
O -6.0932 -7.3067 3.2739
O -1.0239 -10.6153 4.0486
O -1.5604 -3.7427 4.1753
O -9.1258 -3.9534 1.9561
```

---

6.
Compound: La2CdBSe
Source: Alexandria
Functional: SCAN
Structure: PBEsol geometry

* VASP energy: -28.494 eV per atom
* size of the total moment: 0.00 μB/cell
* Fermi-level density of states: 0.759 states/eV per atom
* E_form (uncorrected): 32.1 kJ per mole of atoms

Geometry as extended XYZ:
```
5
Lattice="4.9235 0.0000 0.0000 0.0000 5.5496 0.0000 0.0000 0.0000 5.5496" Properties=species:S:1:pos:R:3 pbc="T T T"
B 2.4618 2.7748 2.7748
Cd 2.4618 0.0000 0.0000
Se 0.0000 0.0000 0.0000
La 0.0000 0.0000 2.7748
La 0.0000 2.7748 0.0000
```

---

Please write out number 6 again, unchanged.
Compound: La2CdBSe
Source: Alexandria
Functional: SCAN
Structure: PBEsol geometry

* VASP energy: -28.494 eV per atom
* size of the total moment: 0.00 μB/cell
* Fermi-level density of states: 0.759 states/eV per atom
* E_form (uncorrected): 32.1 kJ per mole of atoms

Geometry as extended XYZ:
```
5
Lattice="4.9235 0.0000 0.0000 0.0000 5.5496 0.0000 0.0000 0.0000 5.5496" Properties=species:S:1:pos:R:3 pbc="T T T"
B 2.4618 2.7748 2.7748
Cd 2.4618 0.0000 0.0000
Se 0.0000 0.0000 0.0000
La 0.0000 0.0000 2.7748
La 0.0000 2.7748 0.0000
```